DyY2Er6Tm3 (GGA-PBE, optimized geometry); space group = C2/m (12); energy of formation = 0.03 eV/atom
1.0
-3.645 0.302 4.864
4.892 -3.619 0.092
5.889 9.731 2.542
Y Er Dy Tm
2 6 1 3
Direct
0.667 0.333 0.000 Y
0.333 0.667 0.000 Y
0.751 0.751 0.252 Er
0.583 0.916 0.748 Er
0.916 0.583 0.748 Er
0.417 0.084 0.252 Er
0.084 0.417 0.252 Er
0.249 0.249 0.748 Er
0.000 0.000 0.000 Dy
0.167 0.833 0.500 Tm
0.500 0.500 0.500 Tm
0.833 0.167 0.500 Tm